No. 1
The following is a PBE calculation of a relaxed PmNdDy2 crystal, from Alexandria.

a = 5.0641 Å, b = 5.1092 Å, c = 5.1092 Å
α = 90.00°, β = 90.00°, γ = 90.00°
Sites, in units of the cell vectors:
Dy 0.0000 0.5000 0.0000
Dy 0.0000 0.0000 0.5000
Nd 0.5000 0.0000 0.0000
Pm 0.5000 0.5000 0.5000

Output
The total energy is -18.64 eV/cell. The energy above the most stable polymorph in this dataset comes out at 7.3 meV per atom. The size of the total moment comes out at 0.0 μB per formula unit. The calculation puts the energy relative to the elements at 20 meV per atom.


No. 2
The following is a PBE calculation of a relaxed Ca2AgW crystal, from Alexandria.

a = 10.4924 Å, b = 10.4924 Å, c = 10.4924 Å
α = 17.41°, β = 17.41°, γ = 17.41°
Sites, in units of the cell vectors:
Ca 0.5016 0.5016 0.5016
Ca 0.9984 0.9984 0.9984
Ag 0.7500 0.7500 0.7500
W 0.2500 0.2500 0.2500

Output
The total energy is -17.15 eV/cell. The energy above the most stable polymorph in this dataset comes out at 152.5 meV per atom. The size of the total moment comes out at 0.2 μB per formula unit. The calculation puts the energy relative to the elements at 665 meV per atom.


No. 3
The following is a PBE calculation of a relaxed YHgPd crystal, from Alexandria.

a = 3.9805 Å, b = 5.4387 Å, c = 7.5432 Å
α = 111.20°, β = 90.00°, γ = 111.47°
Sites, in units of the cell vectors:
Hg 0.1210 0.2420 0.4244
Hg 0.8790 0.7580 0.5756
Pd 0.3661 0.7323 0.8439
Pd 0.6339 0.2677 0.1561
Y 0.6479 0.2959 0.7806
Y 0.3521 0.7041 0.2194

Output
The total energy is -27.13 eV/cell. The size of the total moment comes out at 0.0 μB per formula unit. The calculation puts the energy relative to the elements at -535 meV per atom.


No. 4
The following is a PBE calculation of a relaxed Re2MoAu crystal, from Alexandria.

a = 2.7933 Å, b = 2.7933 Å, c = 8.2006 Å
α = 90.00°, β = 90.00°, γ = 90.00°
Sites, in units of the cell vectors:
Re 0.5000 0.5000 0.2289
Re 0.0000 0.0000 0.0089
Mo 0.5000 0.5000 0.7645
Au 0.0000 0.0000 0.4977

Output
The total energy is -38.09 eV/cell. The energy above the most stable polymorph in this dataset comes out at 19.8 meV per atom. The size of the total moment comes out at 0.0 μB per formula unit. The calculation puts the energy relative to the elements at 228 meV per atom.


No. 5
The following is a PBE calculation of a relaxed Tm4BiPb2 crystal, from Alexandria.

a = 8.0426 Å, b = 8.0425 Å, c = 8.0426 Å
α = 109.43°, β = 109.43°, γ = 109.56°
Sites, in units of the cell vectors:
Pb 0.6250 0.5030 0.3779
Pb 0.7529 0.3750 0.8780
Pb 0.1251 0.2471 0.6221
Pb 0.4970 0.8749 0.1220
Bi 0.2500 0.7500 0.5000
Bi 0.0000 0.0000 0.0000
Tm 0.2311 0.4813 0.1022
Tm 0.8709 0.2686 0.2497
Tm 0.8712 0.7689 0.2503
Tm 0.3791 0.1288 0.8978
Tm 0.7313 0.9811 0.6022
Tm 0.5187 0.6209 0.7497
Tm 0.0189 0.6211 0.7503
Tm 0.3789 0.1291 0.3978

Output
The total energy is -65.85 eV/cell. The energy above the most stable polymorph in this dataset comes out at 0.0 meV per atom. The size of the total moment comes out at 0.0 μB per formula unit. The calculation puts the energy relative to the elements at -535 meV per atom.


No. 6
The following is a PBE calculation of a relaxed AcLa2Eu crystal, from Alexandria.

a = 6.1259 Å, b = 6.1259 Å, c = 6.1259 Å
α = 60.00°, β = 60.00°, γ = 60.00°
Sites, in units of the cell vectors:
Eu 0.0000 0.0000 0.0000
Ac 0.5000 0.5000 0.5000
La 0.2500 0.2500 0.2500
La 0.7500 0.7500 0.7500

Output
The total energy is -23.74 eV/cell. The energy above the most stable polymorph in this dataset comes out at 90.4 meV per atom. The size of the total moment comes out at 8.3 μB per formula unit. The calculation puts the energy relative to the elements at 125 meV per atom.


No. 7
The following is a PBE calculation of a relaxed PmErIrPt crystal, from Alexandria.

a = 3.8700 Å, b = 4.3141 Å, c = 5.7161 Å
α = 90.00°, β = 109.79°, γ = 90.00°
Sites, in units of the cell vectors:
Ir 0.4119 0.0000 0.8238
Pt 0.5826 0.5000 0.1652
Er 0.8601 0.5000 0.7203
Pm 0.1454 0.0000 0.2908

Output
The total energy is -28.13 eV/cell. The energy above the most stable polymorph in this dataset comes out at 0.0 meV per atom. The size of the total moment comes out at 0.0 μB per formula unit. The calculation puts the energy relative to the elements at -979 meV per atom.


No. 8
The following is a PBE calculation of a relaxed CeGa2Au6 crystal, from Alexandria.

a = 5.5194 Å, b = 6.0493 Å, c = 6.0493 Å
α = 65.66°, β = 85.56°, γ = 85.56°
Sites, in units of the cell vectors:
Au 0.5000 0.2329 0.7671
Au 0.2503 0.4904 0.0427
Au 0.5000 0.7671 0.2329
Au 0.7497 0.5096 0.9573
Au 0.2503 0.0427 0.4904
Au 0.7497 0.9573 0.5096
Ga 0.8635 0.4045 0.4045
Ga 0.1365 0.5955 0.5955
Ce 0.0000 0.0000 0.0000

Output
The total energy is -34.48 eV/cell. The energy above the most stable polymorph in this dataset comes out at 0.0 meV per atom. The size of the total moment comes out at 0.9 μB per formula unit. The calculation puts the energy relative to the elements at -314 meV per atom.


No. 9
The following is a PBE calculation of a relaxed Be2PtSe crystal, from Alexandria.

a = 3.1348 Å, b = 3.1348 Å, c = 6.1933 Å
α = 90.00°, β = 90.00°, γ = 90.00°
Sites, in units of the cell vectors:
Se 0.5000 0.5000 0.8694
Be 0.5000 0.5000 0.2427
Be 0.0000 0.0000 0.0149
Pt 0.0000 0.0000 0.3730

Output
The total energy is -17.94 eV/cell. As for the uncorrected formation energy: -93 kJ/mol of formula units. The size of the total moment comes out at 0.0 μB per formula unit.


No. 10
The following is a PBE calculation of a relaxed Ti5Ge5Pd crystal, from Alexandria.

a = 5.1929 Å, b = 5.6018 Å, c = 8.5277 Å
α = 113.40°, β = 90.00°, γ = 117.61°
Sites, in units of the cell vectors:
Ti 0.6616 0.3232 0.8141
Ti 0.3384 0.6768 0.1859
Ti 0.6680 0.3360 0.3488
Ti 0.0000 0.0000 0.5000
Ti 0.3320 0.6640 0.6512
Ge 0.5000 0.0000 0.0000
Ge 0.1531 0.3062 0.3253
Ge 0.8250 0.6501 0.1585
Ge 0.1750 0.3499 0.8415
Ge 0.8469 0.6938 0.6747
Pd 0.0000 0.0000 0.0000

Output
The total energy is -70.05 eV/cell. The size of the total moment comes out at 0.0 μB per formula unit. The calculation puts the energy relative to the elements at -209 meV per atom.


No. 11
The following is a PBE calculation of a relaxed AcEuIn2 crystal, from Alexandria.

a = 5.7116 Å, b = 5.7116 Å, c = 5.7116 Å
α = 60.00°, β = 60.00°, γ = 60.00°
Sites, in units of the cell vectors:
Eu 0.0000 0.0000 0.0000
In 0.7500 0.7500 0.7500
In 0.2500 0.2500 0.2500
Ac 0.5000 0.5000 0.5000

Output
The total energy is -21.62 eV/cell. The energy above the most stable polymorph in this dataset comes out at 5.8 meV per atom. The size of the total moment comes out at 7.4 μB per formula unit. The calculation puts the energy relative to the elements at -439 meV per atom.


No. 12
The following is a PBE calculation of a relaxed Nb3Fe8Si crystal, from Alexandria.

a = 4.7785 Å, b = 4.7785 Å, c = 7.7433 Å
α = 90.00°, β = 90.00°, γ = 120.00°
Sites, in units of the cell vectors:
Si 0.6667 0.3333 0.5486
Fe 0.0000 0.0000 0.5023
Fe 0.8302 0.1698 0.2530
Fe 0.3396 0.1698 0.2530
Fe 0.6630 0.8315 0.7506
Fe 0.0000 0.0000 0.0095
Fe 0.1685 0.3370 0.7506
Fe 0.1685 0.8315 0.7506
Fe 0.8302 0.6604 0.2530
Nb 0.3333 0.6667 0.4449
Nb 0.6667 0.3333 0.9167
Nb 0.3333 0.6667 0.0674

Output
The total energy is -105.01 eV/cell. As for the uncorrected formation energy: -161 kJ/mol of formula units. The size of the total moment comes out at 10.0 μB per formula unit.